An optimized crystal structure of YErOs4. Source: the Alexandria database, functional PBE-GGA.

Computed properties:
Space group = F-43m
Spin magnetization = 0.0 μB/f.u.
Formation enthalpy at 0 K = -0.2847 eV/atom

a b c (Å): 5.349 5.349 5.349
angles (deg): 60.00 60.00 60.00
Fractional coordinates of all 6 atoms:
1 Er 0.000 0.000 0.000
2 Os 0.625 0.625 0.625
3 Os 0.625 0.625 0.125
4 Os 0.625 0.125 0.625
5 Os 0.125 0.625 0.625
6 Y 0.250 0.250 0.250